Compound: Hf12Os6C
Source: Alexandria via LeMat-Bulk
Functional: PBE
Structure: relaxed

Cell lengths 7.5182, 7.5182, 7.5182 Å; angles 100.01, 100.01, 100.01 degrees
Last column: nearest neighbours and their distance in Å.
Fractional coordinates of all 19 atoms:
Hf (0.0325, 0.9339, 0.6931)  1 C 2.34
Hf (0.0661, 0.3069, 0.9675)  1 C 2.34
Hf (0.1723, 0.5748, 0.4262)  4 Os 2.59-2.77
Hf (0.3069, 0.9675, 0.0661)  1 C 2.34
Hf (0.4252, 0.5738, 0.8277)  4 Os 2.59-2.77
Hf (0.4262, 0.1723, 0.5748)  4 Os 2.59-2.77
Hf (0.5738, 0.8277, 0.4252)  4 Os 2.59-2.77
Hf (0.5748, 0.4262, 0.1723)  4 Os 2.59-2.77
Hf (0.6931, 0.0325, 0.9339)  1 C 2.34
Hf (0.8277, 0.4252, 0.5738)  4 Os 2.59-2.77
Hf (0.9339, 0.6931, 0.0325)  1 C 2.34
Hf (0.9675, 0.0661, 0.3069)  1 C 2.34
Os (0.1347, 0.2979, 0.6246)  7 Hf 2.59-2.87
Os (0.2979, 0.6246, 0.1347)  7 Hf 2.59-2.87
Os (0.3754, 0.8653, 0.7021)  7 Hf 2.59-2.87
Os (0.6246, 0.1347, 0.2979)  7 Hf 2.59-2.87
Os (0.7021, 0.3754, 0.8653)  7 Hf 2.59-2.87
Os (0.8653, 0.7021, 0.3754)  7 Hf 2.59-2.87
C (0.0000, 0.0000, 0.0000)  6 Hf 2.34

Calculated values
Theoretical density ... 13.58 g cm⁻³
E_form ... -329 kJ/mol of formula units

=====

Compound: Ir2Ru2Rh5
Source: Alexandria via LeMat-Bulk
Functional: PBE
Structure: relaxed

Cell lengths 6.0830, 6.0830, 6.0815 Å; angles 107.54, 107.54, 36.77 degrees
Last column: nearest neighbours and their distance in Å.
Fractional coordinates of all 9 atoms:
Ir (0.1074, 0.1074, 0.1638)  1 Ir 2.64, 4 Ru 2.67-2.68, 7 Rh 2.71-2.75
Ir (0.8926, 0.8926, 0.8362)  1 Ir 2.64, 4 Ru 2.67-2.68, 7 Rh 2.71-2.75
Ru (0.4457, 0.4457, 0.1616)  1 Ru 2.65, 4 Ir 2.67-2.68, 7 Rh 2.71-2.75
Ru (0.5543, 0.5543, 0.8384)  1 Ru 2.65, 4 Ir 2.67-2.68, 7 Rh 2.71-2.75
Rh (0.0000, 0.0000, 0.5000)  2 Ir 2.71, 6 Rh 2.71-2.73, 4 Ru 2.74
Rh (0.2216, 0.2216, 0.8376)  6 Rh 2.68-2.76, 3 Ir 2.71-2.75, 3 Ru 2.71-2.72
Rh (0.3336, 0.3336, 0.4987)  7 Rh 2.71-2.76, 2 Ru 2.72-2.75, 3 Ir 2.73-2.75
Rh (0.6664, 0.6664, 0.5013)  7 Rh 2.71-2.76, 2 Ru 2.72-2.75, 3 Ir 2.73-2.75
Rh (0.7784, 0.7784, 0.1624)  6 Rh 2.68-2.76, 3 Ir 2.71-2.75, 3 Ru 2.71-2.72

Calculated values
Theoretical density ... 14.31 g cm⁻³
Excess energy over the best structure of this formula in the dataset ... 0.000 eV/atom
E_form ... -13 kJ/mol of formula units

=====

What is the E_form in the second record?
-13 kJ/mol of formula units